Entry from Alexandria via LeMat-Bulk: a geometry-optimized NaAc2NiO5 structure (PBE with a Hubbard U).

```
NaAc2NiO5
1.0
-3.5007 4.4873 -0.2129
-4.2116 -3.5036 -4.5945
-3.7509 -2.6667 5.4718
Na O Ac Ni
2 10 4 2
direct
0.0000 0.5000 0.5000 Na
0.0000 0.0000 0.0000 Na
0.7666 0.1262 0.6262 O
0.7666 0.8738 0.3738 O
0.5000 0.0000 0.0000 O
0.2334 0.8738 0.3738 O
0.2334 0.3738 0.1262 O
0.2334 0.6262 0.8738 O
0.7666 0.3738 0.1262 O
0.7666 0.6262 0.8738 O
0.2334 0.1262 0.6262 O
0.5000 0.5000 0.5000 O
0.5000 0.8185 0.6815 Ac
0.5000 0.6815 0.1815 Ac
0.5000 0.3185 0.8185 Ac
0.5000 0.1815 0.3185 Ac
0.0000 0.0000 0.5000 Ni
0.0000 0.5000 0.0000 Ni
```

Computed properties:
Space-group type = P4/mbm (127)
Calculated volume = 16.18 Å³/atom
Final energy = -6.30 eV/atom
ρ = 7.0 g/cm3